Material: MnSb2F
Method: DFT, PBE with a Hubbard U
State: relaxed

extended XYZ file:
```
4
Lattice="-4.504 -0.234 1.695 -3.730 0.105 -3.049 -2.640 -3.967 -0.715" Properties=species:S:1:pos:R:3 pbc="T T T"
Sb -2.719 -1.024 -0.517
Sb -8.156 -3.072 -1.552
Mn -5.437 -2.048 -1.034
F 0.000 0.000 0.000
```

## Properties
Crystal system: cubic
Excess energy over the best structure of this formula in the dataset, meV/atom: 0
Density, g cm⁻³: 6.66
Energy, Ry per atom: -0.35157

Material: TaMnSbF2
Method: DFT, PBE with a Hubbard U
State: relaxed

extended XYZ file:
```
5
Lattice="4.269 0.000 0.000 0.000 5.889 0.000 0.000 0.000 4.269" Properties=species:S:1:pos:R:3 pbc="T T T"
Sb 0.000 0.000 0.000
F 0.000 0.000 2.134
F 2.134 0.000 0.000
Mn 2.134 2.944 2.134
Ta 0.000 2.944 0.000
```

## Properties
Crystal system: tetragonal
Excess energy over the best structure of this formula in the dataset, meV/atom: 0
Density, g cm⁻³: 6.12
Energy, Ry per atom: -0.41776

Material: TaMnSbF2
Method: DFT, PBE with a Hubbard U
State: relaxed

extended XYZ file:
```
5
Lattice="4.253 0.000 0.000 0.000 5.840 0.000 0.000 0.000 4.253" Properties=species:S:1:pos:R:3 pbc="T T T"
Sb 0.000 0.000 0.000
F 0.000 0.000 2.126
F 2.126 0.000 0.000
Mn 0.000 2.920 0.000
Ta 2.126 2.920 2.126
```

## Properties
Crystal system: tetragonal
Excess energy over the best structure of this formula in the dataset, meV/atom: 266
Density, g cm⁻³: 6.22
Energy, Ry per atom: -0.39821

Material: MnTc2SbF
Method: DFT, PBE with a Hubbard U
State: relaxed

extended XYZ file:
```
5
Lattice="-2.511 2.041 3.729 -2.417 -4.551 0.864 3.586 -1.310 3.131" Properties=species:S:1:pos:R:3 pbc="T T T"
Sb 0.000 0.000 0.000
Mn -1.208 -2.275 0.432
Tc 1.793 -0.655 1.566
Tc -1.255 1.021 1.865
F -0.671 -1.910 3.862
```

## Properties
Crystal system: tetragonal
Density, g cm⁻³: 5.11
Energy, Ry per atom: -0.34062

Material: MnSb2TeF
Method: DFT, PBE with a Hubbard U
State: relaxed

extended XYZ file:
```
5
Lattice="-3.364 -1.693 -3.566 3.689 0.320 -3.632 1.401 -4.878 0.994" Properties=species:S:1:pos:R:3 pbc="T T T"
Sb 1.845 0.160 -1.816
Sb -1.682 -0.847 -1.783
Te 0.701 -2.439 0.497
Mn 0.000 0.000 0.000
F 0.863 -3.125 -3.102
```

## Properties
Crystal system: tetragonal
Excess energy over the best structure of this formula in the dataset, meV/atom: 186
Density, g cm⁻³: 5.31
Energy, Ry per atom: -0.29091

Material: MnSbTe2F
Method: DFT, PBE with a Hubbard U
State: relaxed

extended XYZ file:
```
5
Lattice="5.202 0.000 0.000 0.000 5.202 0.000 0.000 0.000 5.272" Properties=species:S:1:pos:R:3 pbc="T T T"
Sb 0.000 0.000 2.636
Te 0.000 2.601 0.000
Te 2.601 0.000 0.000
Mn 0.000 0.000 0.000
F 2.601 2.601 2.636
```

## Properties
Crystal system: tetragonal
Excess energy over the best structure of this formula in the dataset, meV/atom: 168
Density, g cm⁻³: 5.25
Energy, Ry per atom: -0.27808

Material: MnSb2TeF
Method: DFT, PBE with a Hubbard U
State: relaxed

extended XYZ file:
```
5
Lattice="-3.949 -0.627 2.455 -2.396 -0.554 -3.996 0.997 -5.587 0.177" Properties=species:S:1:pos:R:3 pbc="T T T"
Sb -1.198 -0.277 -1.998
Sb -1.974 -0.313 1.227
Te 0.499 -2.794 0.089
Mn -2.674 -3.384 -0.682
F 0.000 0.000 0.000
```

## Properties
Crystal system: tetragonal
Excess energy over the best structure of this formula in the dataset, meV/atom: 0
Density, g cm⁻³: 5.91
Energy, Ry per atom: -0.30456

Material: MnSbTe2F
Method: DFT, PBE with a Hubbard U
State: relaxed

extended XYZ file:
```
5
Lattice="5.462 0.000 0.000 0.000 5.462 0.000 0.000 0.000 4.353" Properties=species:S:1:pos:R:3 pbc="T T T"
Sb 0.000 0.000 2.177
Te 0.000 2.731 0.000
Te 2.731 0.000 0.000
Mn 2.731 2.731 2.177
F 0.000 0.000 0.000
```

## Properties
Crystal system: tetragonal
Excess energy over the best structure of this formula in the dataset, meV/atom: 0
Density, g cm⁻³: 5.77
Energy, Ry per atom: -0.29042

Material: MnZnSbF2
Method: DFT, PBE with a Hubbard U
State: relaxed

extended XYZ file:
```
5
Lattice="-3.122 -2.532 -1.686 2.080 -3.540 1.466 -2.903 0.321 4.894" Properties=species:S:1:pos:R:3 pbc="T T T"
Sb 0.000 0.000 0.000
Zn -1.452 0.161 2.447
Mn -1.973 -2.876 2.337
F 1.040 -1.770 0.733
F -1.561 -1.266 -0.843
```

## Properties
Crystal system: tetragonal
Density, g cm⁻³: 4.29
Energy, Ry per atom: -0.30017

Material: ZrMnSb2F
Method: DFT, PBE with a Hubbard U
State: relaxed

extended XYZ file:
```
5
Lattice="5.651 0.000 0.000 0.000 4.148 0.000 0.000 0.000 5.651" Properties=species:S:1:pos:R:3 pbc="T T T"
Sb 0.000 0.000 2.825
Sb 2.825 0.000 0.000
Mn 2.825 2.074 2.825
Zr 0.000 0.000 0.000
F 0.000 2.074 0.000
```

## Properties
Crystal system: tetragonal
Density, g cm⁻³: 5.12
Energy, Ry per atom: -0.43271

Material: Sc3MnF
Method: DFT, PBE with a Hubbard U
State: relaxed

extended XYZ file:
```
5
Lattice="-2.035 3.115 2.625 -3.705 -2.636 0.256 1.694 -2.021 3.712" Properties=species:S:1:pos:R:3 pbc="T T T"
Sc -1.852 -1.318 0.128
Sc 0.847 -1.011 1.856
Sc -1.018 1.558 1.312
Mn -2.023 -0.771 3.297
F 0.000 0.000 0.000
```

## Properties
Crystal system: cubic
Excess energy over the best structure of this formula in the dataset, meV/atom: 0
Density, g cm⁻³: 3.67
Energy, Ry per atom: -0.47313

Material: Sc2MnF
Method: DFT, PBE with a Hubbard U
State: relaxed

extended XYZ file:
```
8
Lattice="6.687 0.000 0.000 0.000 6.687 0.000 3.343 3.343 3.559" Properties=species:S:1:pos:R:3 pbc="T T T"
Sc 4.332 1.672 0.890
Sc 2.355 5.015 0.890
Sc 5.015 5.698 2.670
Sc 8.358 7.675 2.670
Mn 0.000 0.000 0.000
Mn 6.687 3.343 1.780
F 3.343 3.343 0.000
F 3.343 6.687 1.780
```

## Properties
Crystal system: tetragonal
Excess energy over the best structure of this formula in the dataset, meV/atom: 0
Density, g cm⁻³: 3.42
Energy, Ry per atom: -0.46700